[1]
# SrCuBiB2 | the Alexandria database | PBE | relaxed
data_SrCuBiB2
_symmetry_space_group_name_H-M 'P 4/m m m'
_symmetry_Int_Tables_number 123
_symmetry_space_group_name_Hall '-P 4 2'
_cell_length_a 4.923
_cell_length_b 4.923
_cell_length_c 6.301
_cell_angle_alpha 90.00
_cell_angle_beta 90.00
_cell_angle_gamma 90.00
loop_
_atom_site_label
_atom_site_fract_x
_atom_site_fract_y
_atom_site_fract_z
Sr1 0.000 0.000 0.000
Cu1 0.500 0.500 0.500
Bi1 0.000 0.000 0.500
B1 0.000 0.500 0.000
# * total energy: -2.2724 eV/atom
# * spin magnetization: 0.0 μB/f.u.
# * calculated formation energy: 2.330 eV per atom

[2]
# TaCuBi2B | the Alexandria database | PBE | relaxed
data_TaCuBi2B
_symmetry_space_group_name_H-M 'P 4/m m m'
_symmetry_Int_Tables_number 123
_symmetry_space_group_name_Hall '-P 4 2'
_cell_length_a 5.354
_cell_length_b 5.354
_cell_length_c 3.710
_cell_angle_alpha 90.00
_cell_angle_beta 90.00
_cell_angle_gamma 90.00
loop_
_atom_site_label
_atom_site_fract_x
_atom_site_fract_y
_atom_site_fract_z
Ta1 0.000 0.000 0.000
Cu1 0.500 0.500 0.500
Bi1 0.000 0.500 0.500
B1 0.500 0.500 0.000
# * total energy: -4.9667 eV/atom
# * spin magnetization: 1.1 μB/f.u.
# * calculated formation energy: 1.111 eV per atom
# * energy above the lowest structure with this stoichiometry: 0.0 meV/atom

[3]
# TaCuBi2B | the Alexandria database | PBE | relaxed
data_TaCuBi2B
_symmetry_space_group_name_H-M 'P 4/m m m'
_symmetry_Int_Tables_number 123
_symmetry_space_group_name_Hall '-P 4 2'
_cell_length_a 5.066
_cell_length_b 5.066
_cell_length_c 4.890
_cell_angle_alpha 90.00
_cell_angle_beta 90.00
_cell_angle_gamma 90.00
loop_
_atom_site_label
_atom_site_fract_x
_atom_site_fract_y
_atom_site_fract_z
Ta1 0.000 0.000 0.000
Cu1 0.000 0.000 0.500
Bi1 0.000 0.500 0.500
B1 0.500 0.500 0.000
# * total energy: -4.2586 eV/atom
# * spin magnetization: 1.2 μB/f.u.
# * calculated formation energy: 1.819 eV per atom
# * energy above the lowest structure with this stoichiometry: 708.1 meV/atom